{"formula": "ZrCl3", "functional": "PBE", "state": "optimized geometry", "lattice_angstrom": [[-1.989, 5.930, 0.574], [-0.378, -3.705, 5.060], [7.692, -0.715, 0.018]], "species": ["Cl", "Cl", "Cl", "Cl", "Cl", "Zr", "Cl", "Zr"], "fractional_positions": [[0.641, 0.924, 0.207], [0.993, 0.571, 0.207], [0.687, 0.770, 0.752], [0.313, 0.230, 0.248], [0.359, 0.076, 0.793], [0.143, 0.857, 0.000], [0.007, 0.429, 0.793], [0.857, 0.143, 0.000]], "total_energy_ev_per_cell": -41.9, "rho_kg_m3": 2731, "formation_energy_uncorrected_ev_per_atom": -1.72}